[1]
# Ba2CS

A geometry-optimized Ba2CS structure (GGA-PBE, the Alexandria database).

The structure belongs to space group Fm-3m (No. 225); the cell edges are 7.521, 7.521 and 7.521 Å and the angles 90.00°, 90.00° and 90.00°. The asymmetric unit holds Ba at (0.250, 0.250, 0.250), C at (0.000, 0.000, 0.000) and S at (0.000, 0.000, 0.500).

The energy relative to the elements, uncorrected comes out at -0.062 eV/atom. The calculation puts the density of states at the Fermi level at 0.696 states/eV/atom. As for the total magnetization: 2.00 μB per formula unit.


[2]
# Hf2Cr3Mo

A geometry-optimized Hf2Cr3Mo structure (GGA-PBE, the Alexandria database).

The structure belongs to space group R-3m (No. 166, hexagonal axes); the cell edges are 5.0927, 5.0927 and 12.5863 Å and the angles 90.00°, 90.00° and 120.00°. The asymmetric unit holds Hf at (0.0000, 0.0000, 0.1240), Cr at (0.0000, 0.5000, 0.0000) and Mo at (0.0000, 0.0000, 0.5000).

The value obtained for the formation energy is -0.1207 eV per atom. The calculation puts the density of states at the Fermi level at 0.731 states/eV/atom. As for the total magnetization: 0.00 μB per formula unit.